1.
# Dy4YTm8

A relaxed structure of Dy4YTm8 (PBE, Alexandria). Values from VASP.

DFT formation energy   5.44 kcal/mol of atoms
ρ   8.600 g/cm3

Quantum ESPRESSO input file:
```
&SYSTEM
  ibrav = 0, nat = 13, ntyp = 3
/
ATOMIC_SPECIES
Dy 162.50 Dy.upf
Y 88.91 Y.upf
Tm 168.93 Tm.upf
CELL_PARAMETERS angstrom
3.613 2.086 8.924
-3.613 2.086 8.924
0.000 -4.172 8.924
ATOMIC_POSITIONS crystal
Dy 0.000 0.000 0.000
Dy 0.000 0.500 0.500
Dy 0.500 0.000 0.500
Dy 0.500 0.500 0.000
Y 0.500 0.500 0.500
Tm 0.193 0.751 0.751
Tm 0.217 0.217 0.217
Tm 0.249 0.249 0.807
Tm 0.249 0.807 0.249
Tm 0.751 0.193 0.751
Tm 0.751 0.751 0.193
Tm 0.783 0.783 0.783
Tm 0.807 0.249 0.249
```

=====

2.
# Rb2In2Tc

A relaxed structure of Rb2In2Tc (PBE, Alexandria). Values from VASP.

DFT formation energy   22.38 kcal/mol of atoms
ρ   4.020 g/cm3

Quantum ESPRESSO input file:
```
&SYSTEM
  ibrav = 0, nat = 5, ntyp = 3
/
ATOMIC_SPECIES
Rb 85.47 Rb.upf
In 114.82 In.upf
Tc 98.00 Tc.upf
CELL_PARAMETERS angstrom
-2.119 2.119 11.470
2.119 -2.119 11.470
2.119 2.119 -11.470
ATOMIC_POSITIONS crystal
Rb 0.100 0.100 0.000
Rb 0.900 0.900 0.000
In 0.250 0.750 0.500
In 0.750 0.250 0.500
Tc 0.500 0.500 0.000
```

=====

3.
# Sb2PtSe

A relaxed structure of Sb2PtSe (PBE, Alexandria). Values from VASP.

ρ   8.946 g/cm3
Raw formation energy   -112.3 meV/atom

Quantum ESPRESSO input file:
```
&SYSTEM
  ibrav = 0, nat = 4, ntyp = 3
/
ATOMIC_SPECIES
Sb 121.76 Sb.upf
Pt 195.08 Pt.upf
Se 78.96 Se.upf
CELL_PARAMETERS angstrom
2.949 0.000 0.000
0.000 3.955 0.000
-0.129 0.000 8.237
ATOMIC_POSITIONS crystal
Sb 0.001 0.000 0.223
Sb 0.999 0.000 0.777
Pt 0.000 0.500 0.000
Se 0.000 0.500 0.500
```

=====

4.
# Li2ZrMo

A relaxed structure of Li2ZrMo (PBE, Alexandria). Values from VASP.

DFT formation energy   5.16 kcal/mol of atoms
ρ   4.440 g/cm3

Quantum ESPRESSO input file:
```
&SYSTEM
  ibrav = 0, nat = 4, ntyp = 3
/
ATOMIC_SPECIES
Li 6.94 Li.upf
Zr 91.22 Zr.upf
Mo 95.94 Mo.upf
CELL_PARAMETERS angstrom
1.646 -2.342 0.000
1.646 2.342 0.000
0.000 0.000 9.753
ATOMIC_POSITIONS crystal
Li 0.000 0.000 0.000
Li 0.500 0.500 0.260
Zr 0.500 0.500 0.721
Mo 0.000 0.000 0.493
```

=====

5.
# CaAg4Pt

A relaxed structure of CaAg4Pt (PBE, Alexandria). Values from VASP.

DFT formation energy   -3.64 kcal/mol of atoms
ρ   9.443 g/cm3

Quantum ESPRESSO input file:
```
&SYSTEM
  ibrav = 0, nat = 6, ntyp = 3
/
ATOMIC_SPECIES
Ca 40.08 Ca.upf
Ag 107.87 Ag.upf
Pt 195.08 Pt.upf
CELL_PARAMETERS angstrom
0.000 3.884 3.884
3.884 0.000 3.884
3.884 3.884 0.000
ATOMIC_POSITIONS crystal
Ca 0.000 0.000 0.000
Ag 0.375 0.375 0.375
Ag 0.375 0.375 0.874
Ag 0.375 0.874 0.375
Ag 0.874 0.375 0.375
Pt 0.750 0.750 0.750
```

=====

6.
# Pm2TiS5

A relaxed structure of Pm2TiS5 (PBE, Alexandria). Values from VASP.

ρ   5.134 g/cm3
Raw formation energy   -1756.7 meV/atom

Quantum ESPRESSO input file:
```
&SYSTEM
  ibrav = 0, nat = 32, ntyp = 3
/
ATOMIC_SPECIES
Pm 145.00 Pm.upf
Ti 47.87 Ti.upf
S 32.06 S.upf
CELL_PARAMETERS angstrom
11.232 0.000 0.000
0.000 7.937 0.000
0.000 0.000 7.230
ATOMIC_POSITIONS crystal
Pm 0.172 0.001 0.059
Pm 0.172 0.499 0.059
Pm 0.328 0.501 0.559
Pm 0.328 0.999 0.559
Pm 0.672 0.001 0.441
Pm 0.672 0.499 0.441
Pm 0.828 0.501 0.941
Pm 0.828 0.999 0.941
Ti 0.010 0.750 0.576
Ti 0.490 0.250 0.076
Ti 0.510 0.750 0.924
Ti 0.990 0.250 0.424
S 0.007 0.750 0.938
S 0.070 0.033 0.674
S 0.070 0.467 0.674
S 0.189 0.750 0.362
S 0.203 0.250 0.346
S 0.297 0.750 0.846
S 0.311 0.250 0.862
S 0.430 0.533 0.174
S 0.430 0.967 0.174
S 0.493 0.250 0.438
S 0.507 0.750 0.562
S 0.570 0.033 0.826
S 0.570 0.467 0.826
S 0.689 0.750 0.138
S 0.703 0.250 0.154
S 0.797 0.750 0.654
S 0.811 0.250 0.638
S 0.930 0.533 0.326
S 0.930 0.967 0.326
S 0.993 0.250 0.062
```

=====

7.
# EuHoAgRu

A relaxed structure of EuHoAgRu (PBE, Alexandria). Values from VASP.

DFT formation energy   -3.25 kcal/mol of atoms
ρ   9.773 g/cm3

Quantum ESPRESSO input file:
```
&SYSTEM
  ibrav = 0, nat = 4, ntyp = 4
/
ATOMIC_SPECIES
Eu 151.96 Eu.upf
Ho 164.93 Ho.upf
Ag 107.87 Ag.upf
Ru 101.07 Ru.upf
CELL_PARAMETERS angstrom
0.000 3.548 3.548
3.548 0.000 3.548
3.548 3.548 0.000
ATOMIC_POSITIONS crystal
Eu 0.000 0.000 0.000
Ho 0.500 0.500 0.500
Ag 0.750 0.750 0.750
Ru 0.250 0.250 0.250
```

=====

8.
# Ti2Be2Tl

A relaxed structure of Ti2Be2Tl (PBE, Alexandria). Values from VASP.

DFT formation energy   -1.14 kcal/mol of atoms
ρ   7.272 g/cm3

Quantum ESPRESSO input file:
```
&SYSTEM
  ibrav = 0, nat = 10, ntyp = 3
/
ATOMIC_SPECIES
Ti 47.87 Ti.upf
Be 9.01 Be.upf
Tl 204.38 Tl.upf
CELL_PARAMETERS angstrom
6.237 0.000 0.000
0.000 6.237 0.000
0.000 0.000 3.735
ATOMIC_POSITIONS crystal
Ti 0.162 0.338 0.000
Ti 0.338 0.838 0.000
Ti 0.662 0.162 0.000
Ti 0.838 0.662 0.000
Be 0.119 0.619 0.500
Be 0.381 0.119 0.500
Be 0.619 0.881 0.500
Be 0.881 0.381 0.500
Tl 0.000 0.000 0.500
Tl 0.500 0.500 0.500
```

=====

Total DFT energy (no corrections)? In order: -57.6, -12.9, -18.2, -22.3, -20.4, -208.3, -27.5, -51.7 eV/cell.